A:
PBE F, optimized geometry; V = 10.5 Å³/atom; total moment = 1.0 μB/f.u.
1.0
-0.4022 1.7935 1.5231
-1.5160 -1.7865 0.4562
2.2432 -0.7746 0.2575
F
1
Direct
0.0000 0.0000 0.0000

---

B:
PBE F, optimized geometry; V = 16.5 Å³/atom; total moment = 0.0 μB/f.u.
1.0
-6.2384 -5.0901 -3.3185
7.6055 0.8395 -4.1582
1.0991 -2.3485 1.5361
F
12
Direct
0.8420 0.1744 0.2500
0.6676 0.8420 0.7500
0.8256 0.6676 0.2500
0.1580 0.8256 0.7500
0.3324 0.1580 0.2500
0.1744 0.3324 0.7500
0.8803 0.3539 0.2500
0.5264 0.8803 0.7500
0.6461 0.5264 0.2500
0.1197 0.6461 0.7500
0.4736 0.1197 0.2500
0.3539 0.4736 0.7500

---

C:
PBE F, optimized geometry; V = 15.5 Å³/atom; total moment = 0.0 μB/f.u.
1.0
3.2257 0.0965 0.0000
-1.4715 2.8721 0.0000
0.0000 0.0000 6.5955
F
4
Direct
0.0915 0.0915 0.0973
0.4085 0.4085 0.5973
0.5915 0.5915 0.4027
0.9085 0.9085 0.9027

---

Relative stability in eV/atom, measured from the most stable structure: A 0.681; B 0.011; C 0.000

---

A:
PBE F, optimized geometry; V = 14.1 Å³/atom; total moment = 1.0 μB/f.u.
1.0
-2.2490 0.2737 -2.7458
-0.9713 -1.7803 2.9257
-1.4331 3.2421 1.4971
F
3
Direct
0.0000 0.7682 0.3333
0.2318 0.2318 0.6667
0.7682 0.0000 0.0000

---

B:
PBE F, optimized geometry; V = 14.4 Å³/atom; total moment = 0.0 μB/f.u.
1.0
-0.6611 0.3351 8.5425
-0.5094 -3.5937 0.1015
5.4870 -0.7649 0.4547
F
12
Direct
0.8388 0.3522 0.0000
0.3388 0.6478 0.5000
0.6612 0.6478 0.5000
0.1612 0.3522 0.0000
0.0000 0.8865 0.5000
0.5000 0.1135 0.0000
0.3052 0.0389 0.0000
0.8052 0.9611 0.5000
0.1948 0.9611 0.5000
0.6948 0.0389 0.0000
0.0000 0.6304 0.0000
0.5000 0.3696 0.5000

---

Relative stability in eV/atom, measured from the most stable structure: A 0.215; B 0.000

---

A:
PBE F, optimized geometry; V = 11.2 Å³/atom; total moment = 1.0 μB/f.u.
1.0
-1.1629 0.9558 1.6576
-1.9066 -0.7427 -0.9093
0.1616 -1.8837 1.1996
F
1
Direct
0.0000 0.0000 0.0000

---

B:
PBE F, optimized geometry; V = 16.1 Å³/atom; total moment = 0.0 μB/f.u.
1.0
9.2438 0.0000 0.0000
0.0000 9.2438 0.0000
0.0000 0.0000 3.0216
F
16
Direct
0.6890 0.7287 0.5000
0.3110 0.2713 0.5000
0.2713 0.6890 0.5000
0.7287 0.3110 0.5000
0.0060 0.3468 0.0000
0.9940 0.6532 0.0000
0.6532 0.0060 0.0000
0.3468 0.9940 0.0000
0.7271 0.4656 0.5000
0.2729 0.5344 0.5000
0.5344 0.7271 0.5000
0.4656 0.2729 0.5000
0.9453 0.7998 0.0000
0.0547 0.2002 0.0000
0.2002 0.9453 0.0000
0.7998 0.0547 0.0000

---

C:
PBE F, optimized geometry; V = 13.8 Å³/atom; total moment = 0.1 μB/f.u.
1.0
3.2992 0.1126 0.1025
1.5751 2.9011 0.1025
1.0416 0.6440 5.9161
F
4
Direct
0.2327 0.2872 0.7105
0.7128 0.7673 0.7895
0.7673 0.7128 0.2895
0.2872 0.2327 0.2105

---

D:
PBE F, optimized geometry; V = 13.6 Å³/atom; total moment = 0.3 μB/f.u.
1.0
-1.3379 -2.0544 1.3351
1.3170 -1.8857 -1.5820
1.2897 -0.0801 1.1691
F
1
Direct
0.5000 0.5000 0.0000

---

Relative stability in eV/atom, measured from the most stable structure: A 0.525; B 0.000; C 0.215; D 0.283

---

A:
PBE F, optimized geometry; V = 16.1 Å³/atom; total moment = 0.0 μB/f.u.
1.0
9.2676 0.0000 0.0000
0.0000 9.2676 0.0000
0.0000 0.0000 2.9949
F
16
Direct
0.5029 0.8047 0.0000
0.4971 0.1953 0.0000
0.1953 0.5029 0.0000
0.8047 0.4971 0.0000
0.0029 0.3047 0.5000
0.9971 0.6953 0.5000
0.6953 0.0029 0.5000
0.3047 0.9971 0.5000
0.3846 0.3007 0.0000
0.6154 0.6993 0.0000
0.6993 0.3846 0.0000
0.3007 0.6154 0.0000
0.8846 0.8007 0.5000
0.1154 0.1993 0.5000
0.1993 0.8846 0.5000
0.8007 0.1154 0.5000

---

B:
PBE F, optimized geometry; V = 15.5 Å³/atom; total moment = 0.0 μB/f.u.
1.0
3.1861 0.0336 0.0490
1.5446 2.7869 0.0490
1.4282 0.8515 7.0399
F
4
Direct
0.4934 0.4934 0.5998
0.0616 0.0616 0.9008
0.5066 0.5066 0.4002
0.9384 0.9384 0.0992

---

Relative stability in eV/atom, measured from the most stable structure: A 0.005; B 0.000

---

A:
PBE F, optimized geometry; V = 14.8 Å³/atom; total moment = 0.0 μB/f.u.
1.0
3.1324 -0.0218 -0.0709
-1.5808 2.7040 0.0590
-1.2136 -1.0599 3.5363
F
2
Direct
0.9191 0.3864 0.8057
0.0809 0.6136 0.1943

---

B:
PBE F, optimized geometry; V = 10.9 Å³/atom; total moment = 1.0 μB/f.u.
1.0
4.4281 0.0000 0.0000
0.0000 4.4281 0.0000
0.0000 0.0000 4.4281
F
8
Direct
0.0000 0.0000 0.0000
0.5000 0.5000 0.5000
0.2500 0.5000 0.0000
0.7500 0.5000 0.0000
0.5000 0.0000 0.2500
0.5000 0.0000 0.7500
0.0000 0.7500 0.5000
0.0000 0.2500 0.5000

---

C:
PBE F, optimized geometry; V = 16.9 Å³/atom; total moment = 0.0 μB/f.u.
1.0
-5.0220 2.1628 7.8764
7.4282 -3.7318 5.7609
2.4063 5.0272 0.1538
F
32
Direct
0.0000 0.7478 0.0000
0.0000 0.2522 0.0000
0.2500 0.0022 0.2500
0.2500 0.4978 0.2500
0.0000 0.2478 0.5000
0.0000 0.7522 0.5000
0.2500 0.5022 0.7500
0.2500 0.9978 0.7500
0.5000 0.7478 0.5000
0.5000 0.2522 0.5000
0.7500 0.0022 0.7500
0.7500 0.4978 0.7500
0.5000 0.2478 0.0000
0.5000 0.7522 0.0000
0.7500 0.5022 0.2500
0.7500 0.9978 0.2500
0.1499 0.0000 0.0000
0.8501 0.0000 0.0000
0.1001 0.7500 0.2500
0.3999 0.7500 0.2500
0.1499 0.5000 0.5000
0.8501 0.5000 0.5000
0.1001 0.2500 0.7500
0.3999 0.2500 0.7500
0.6499 0.0000 0.5000
0.3501 0.0000 0.5000
0.6001 0.7500 0.7500
0.8999 0.7500 0.7500
0.6499 0.5000 0.0000
0.3501 0.5000 0.0000
0.6001 0.2500 0.2500
0.8999 0.2500 0.2500

---

D:
PBE F, optimized geometry; V = 18.2 Å³/atom; total moment = 1.0 μB/f.u.
1.0
6.0209 0.0000 0.0000
0.0000 6.0209 0.0000
0.0000 0.0000 6.0209
F
12
Direct
0.2500 0.0000 0.5000
0.7500 0.0000 0.5000
0.0000 0.5000 0.2500
0.0000 0.5000 0.7500
0.5000 0.2500 0.0000
0.5000 0.7500 0.0000
0.0000 0.7500 0.5000
0.0000 0.2500 0.5000
0.7500 0.5000 0.0000
0.2500 0.5000 0.0000
0.5000 0.0000 0.7500
0.5000 0.0000 0.2500

---

Relative stability in eV/atom, measured from the most stable structure: A 0.000; B 0.720; C 0.144; D 0.522